## ZnH3Os (PBE)

Data for crystalline ZnH3Os at its relaxed geometry.

DOS(E_F): 0.9 states/eV per cell
Energy above the lowest structure with this stoichiometry: 0.790 eV/atom
Crystal system: cubic
Theoretical density: 11.0 g/cm3
Magnetic moment: 0.96 μB/f.u.

Unit cell a=3.390 b=3.390 c=3.390 alpha=90.00 beta=90.00 gamma=90.00
Space group Pm-3m (No. 221)
Unique sites:
1 Zn 0.000 0.000 0.000 (multiplicity 1)
2 H 0.000 0.000 0.500 (multiplicity 3)
3 Os 0.500 0.500 0.500 (multiplicity 1)

***

## ZnHOs2 (PBE)

Data for crystalline ZnHOs2 at its relaxed geometry.

DOS(E_F): 11.2 states/eV per cell
Energy above the lowest structure with this stoichiometry: 0.000 eV/atom
Crystal system: tetragonal
Theoretical density: 16.0 g/cm3
Magnetic moment: 0.00 μB/f.u.

Unit cell a=6.124 b=6.124 c=4.952 alpha=90.00 beta=90.00 gamma=90.00
Space group I-42d (No. 122)
Unique sites:
1 Zn 0.000 0.000 0.000 (multiplicity 4)
2 H 0.000 0.000 0.500 (multiplicity 4)
3 Os 0.152 0.250 0.625 (multiplicity 8)

***

## Zn2HOs (PBE)

Data for crystalline Zn2HOs at its relaxed geometry.

DOS(E_F): 8.3 states/eV per cell
Energy above the lowest structure with this stoichiometry: 0.000 eV/atom
Crystal system: tetragonal
Theoretical density: 11.5 g/cm3
Magnetic moment: 0.00 μB/f.u.

Unit cell a=6.540 b=6.540 c=4.351 alpha=90.00 beta=90.00 gamma=90.00
Space group I-42d (No. 122)
Unique sites:
1 Zn 0.168 0.250 0.125 (multiplicity 8)
2 H 0.000 0.000 0.000 (multiplicity 4)
3 Os 0.000 0.000 0.500 (multiplicity 4)

***

## ZnH3Os (PBE)

Data for crystalline ZnH3Os at its relaxed geometry.

DOS(E_F): 1.3 states/eV per cell
Energy above the lowest structure with this stoichiometry: 0.000 eV/atom
Crystal system: cubic
Theoretical density: 10.3 g/cm3
Magnetic moment: 0.00 μB/f.u.

Unit cell a=3.467 b=3.467 c=3.467 alpha=90.00 beta=90.00 gamma=90.00
Space group Pm-3m (No. 221)
Unique sites:
1 Zn 0.000 0.000 0.000 (multiplicity 1)
2 H 0.000 0.500 0.500 (multiplicity 3)
3 Os 0.500 0.500 0.500 (multiplicity 1)

***

> Which formula does entry 4 have?

ZnH3Os

***

> Among the records above, which one has the lowest theoretical density?

number 4

***

> The lowest theoretical density belongs to which entry?

number 4